Record 1
This record from the Alexandria database describes Li2AgIr after structural relaxation. The functional is GGA-PBE.

Results
Space group: Cmm2, No. 35
Crystal system: orthorhombic
Formation enthalpy at 0 K (eV per atom): 0.0486

a b c (Å): 2.715 2.715 9.594
angles (deg): 90.00 90.00 116.65
Fractional coordinates of all 4 atoms:
Ag (0.000, 0.000, 0.498)
Ir (0.500, 0.500, 0.761)
Li (0.000, 0.000, 0.980)
Li (0.500, 0.500, 0.261)

Record 2
This record from the Alexandria database describes TaNiGePtAu after structural relaxation. The functional is GGA-PBE.

Results
Space group: P1, No. 1
Crystal system: triclinic
E above lowest polymorph (meV/atom): 22
Formation enthalpy at 0 K (eV per atom): -0.2101

a b c (Å): 3.081 4.875 5.782
angles (deg): 96.38 90.25 108.45
Fractional coordinates of all 5 atoms:
Ta (0.662, 0.521, 0.699)
Ni (0.246, 0.685, 0.045)
Ge (0.585, 0.359, 0.214)
Pt (0.954, 0.103, 0.884)
Au (0.359, 0.919, 0.474)

Record 3
This record from the Alexandria database describes Tb4Pm5Er2 after structural relaxation. The functional is GGA-PBE.

Results
Space group: C2/m, No. 12
Crystal system: monoclinic
E above lowest polymorph (meV/atom): 0
Formation enthalpy at 0 K (eV per atom): 0.0743

a b c (Å): 3.550 11.621 9.002
angles (deg): 93.93 101.37 90.00
Fractional coordinates of all 11 atoms:
Tb (0.359, 0.205, 0.718)
Tb (0.963, 0.739, 0.927)
Tb (0.641, 0.795, 0.282)
Tb (0.037, 0.261, 0.073)
Pm (0.903, 0.464, 0.806)
Pm (0.097, 0.536, 0.194)
Pm (0.823, 0.929, 0.646)
Pm (0.500, 0.000, 0.000)
Pm (0.177, 0.071, 0.354)
Er (0.716, 0.353, 0.431)
Er (0.284, 0.647, 0.569)

Record 4
This record from the Alexandria database describes Dy2HfH after structural relaxation. The functional is GGA-PBE.

Results
Space group: P4/mmm, No. 123
Crystal system: tetragonal
E above lowest polymorph (meV/atom): 0

a b c (Å): 3.240 3.240 8.025
angles (deg): 90.00 90.00 90.00
Fractional coordinates of all 4 atoms:
H (0.500, 0.500, 0.000)
Hf (0.500, 0.500, 0.500)
Dy (0.000, 0.000, 0.792)
Dy (0.000, 0.000, 0.208)

Record 5
This record from the Alexandria database describes SnH3Pd3 after structural relaxation. The functional is GGA-PBE.

Results
Space group: P-1, No. 2
Crystal system: triclinic

a b c (Å): 3.319 5.404 10.389
angles (deg): 74.95 71.93 70.41
Fractional coordinates of all 14 atoms:
Sn (0.532, 0.474, 0.716)
Sn (0.468, 0.526, 0.284)
H (0.223, 0.006, 0.386)
H (0.777, 0.994, 0.614)
H (0.292, 0.341, 0.039)
H (0.708, 0.659, 0.961)
H (0.875, 0.016, 0.132)
H (0.125, 0.984, 0.868)
Pd (0.912, 0.272, 0.482)
Pd (0.088, 0.728, 0.518)
Pd (0.258, 0.110, 0.202)
Pd (0.742, 0.890, 0.798)
Pd (0.912, 0.295, 0.938)
Pd (0.088, 0.705, 0.062)

Record 6
This record from the Alexandria database describes PmBe2SiPt after structural relaxation. The functional is GGA-PBE.

Results
Formation energy (no corrections) (meV per atom): -620
Space group: Imm2, No. 44
Crystal system: orthorhombic

a b c (Å): 4.032 3.930 5.702
angles (deg): 110.16 110.70 90.00
Fractional coordinates of all 5 atoms:
Pm (0.443, 0.443, 0.886)
Be (0.694, 0.194, 0.388)
Be (0.065, 0.065, 0.129)
Si (0.825, 0.825, 0.650)
Pt (0.186, 0.686, 0.371)

| no. | DFT total energy (eV/f.u.) |
| --- | --- |
| 1 | -15.345 |
| 2 | -32.620 |
| 3 | -50.583 |
| 4 | -22.035 |
| 5 | -30.932 |
| 6 | -26.769 |